No. 1
A plane-wave DFT calculation with meta-GGA SCAN was carried out for a crystal of ScTcS2 relaxed with PBEsol.

Unit cell a=3.147 b=3.147 c=8.361 alpha=79.15 beta=79.15 gamma=60.00
Sites, in units of the cell vectors:
Sc  0.000  0.000  0.000
S  0.897  0.897  0.308
S  0.103  0.103  0.692
Tc  0.500  0.500  0.500

Properties
Formation energy (no corrections) in eV/atom: -0.4208
Raw total energy in eV/atom: -17.559
ρ in kg/m³: 4911
Symmetry: R-3m, No. 166

---

No. 2
A plane-wave DFT calculation with meta-GGA SCAN was carried out for a crystal of Ta2AuCl relaxed with PBEsol.

Unit cell a=4.532 b=4.532 c=4.532 alpha=60.00 beta=60.00 gamma=60.00
Sites, in units of the cell vectors:
Cl  0.500  0.500  0.500
Au  0.000  0.000  0.000
Ta  0.250  0.250  0.250
Ta  0.750  0.750  0.750

Properties
Formation energy (no corrections) in eV/atom: 0.2333
Raw total energy in eV/atom: -52.342
Polymorph energy (0 for the lowest one) in eV/atom: 0.409
ρ in kg/m³: 14994
Symmetry: Fm-3m, No. 225